DFT (PBE) results for Nd4BBr2O after structural relaxation.

The space group is P2/m (No. 10) and the conventional cell measures 6.5476, 3.8675 and 7.7750 Å, with angles of 90.00, 107.15 and 90.00 degrees. The asymmetric unit holds Nd at (0.2248, 0.0000, 0.1826), Nd at (0.2605, 0.5000, 0.8134), B at (0.5000, 0.0000, 0.0000), Br at (0.0000, 0.0000, 0.5000), Br at (0.5000, 0.5000, 0.5000) and O at (0.0000, 0.5000, 0.0000).

Its total energy is -5.646 eV per atom. The volume is 23.5 A^3/atom. For the raw formation energy, the calculation gives -1389.8 meV/atom.